(1)
MoP2Os: optimized geometry, PBE-GGA.

## Properties
Energy of formation in eV per atom: 0.287
Distance to the lowest polymorph of the same formula in meV per atom: 531.2
N(E_F) in states/eV/atom: 0.75

Cell lengths 2.9465, 5.0999, 7.7127 Å; angles 90.00, 90.00, 90.00 degrees
Space group Immm (No. 71)
Unique sites:
Mo1 0.0000 0.0000 0.0000 (multiplicity 2)
P1 0.0000 0.5000 0.2430 (multiplicity 4)
Os1 0.0000 0.0000 0.5000 (multiplicity 2)



(2)
LaOs2W: optimized geometry, PBE-GGA.

## Properties
Energy of formation in eV per atom: 0.498
Distance to the lowest polymorph of the same formula in meV per atom: 360.8
N(E_F) in states/eV/atom: 1.04

Cell lengths 10.0843, 3.0430, 5.2214 Å; angles 90.00, 105.74, 90.00 degrees
Space group Cm (No. 8)
Unique sites:
La1 0.0000 0.0000 0.0000 (multiplicity 2)
Os1 0.2714 0.5000 0.3316 (multiplicity 2)
Os2 0.4977 0.0000 0.4851 (multiplicity 2)
W1 0.2140 0.0000 0.6845 (multiplicity 2)



(3)
Sr2AlCu2: optimized geometry, PBE-GGA.

## Properties
Energy of formation in eV per atom: 0.017
N(E_F) in states/eV/atom: 0.75

Cell lengths 6.0060, 6.0060, 7.4195 Å; angles 90.00, 90.00, 90.00 degrees
Space group I4/mmm (No. 139)
Unique sites:
Sr1 0.0000 0.5000 0.2500 (multiplicity 4)
Al1 0.0000 0.0000 0.0000 (multiplicity 2)
Cu1 0.0000 0.0000 0.3394 (multiplicity 4)



(4)
HfU2Se8: optimized geometry, PBE-GGA.

## Properties
Formation energy (no corrections) in meV per atom: -534

Cell lengths 7.2625, 7.2625, 9.2348 Å; angles 90.00, 90.00, 120.00 degrees
Space group P-3m1 (No. 164)
Unique sites:
Hf1 0.0000 0.0000 0.0000 (multiplicity 1)
U1 0.3333 0.6667 0.6676 (multiplicity 2)
Se1 0.1628 0.3256 0.8227 (multiplicity 6)
Se2 0.3333 0.6667 0.3894 (multiplicity 2)



(5)
Na2PmHgSb2: optimized geometry, PBE-GGA.

## Properties
Formation energy (no corrections) in meV per atom: -529
N(E_F) in states/eV/atom: 0.32

Cell lengths 4.5334, 9.1534, 8.3345 Å; angles 90.00, 90.00, 90.00 degrees
Space group Pmc2_1 (No. 26)
Unique sites:
Na1 0.0000 0.0753 0.0000 (multiplicity 2)
Na2 0.5000 0.1731 0.3172 (multiplicity 2)
Pm1 0.5000 0.4514 0.9133 (multiplicity 2)
Hg1 0.0000 0.2974 0.5635 (multiplicity 2)
Sb1 0.0000 0.3954 0.1812 (multiplicity 2)
Sb2 0.5000 0.1536 0.7198 (multiplicity 2)



(6)
KY2Tc: optimized geometry, PBE-GGA.

## Properties
Energy of formation in eV per atom: 0.325
Distance to the lowest polymorph of the same formula in meV per atom: 201.9
N(E_F) in states/eV/atom: 1.29

Cell lengths 3.6985, 3.6985, 33.3989 Å; angles 90.00, 90.00, 120.00 degrees
Space group R-3m (No. 166, hexagonal axes)
Unique sites:
K1 0.0000 0.0000 0.0000 (multiplicity 3)
Y1 0.0000 0.0000 0.2219 (multiplicity 6)
Tc1 0.0000 0.0000 0.5000 (multiplicity 3)



(7)
KTeCl: optimized geometry, PBE-GGA.

## Properties
Formation energy (no corrections) in meV per atom: -395
Distance to the lowest polymorph of the same formula in meV per atom: 801.4
N(E_F) in states/eV/atom: 1.16

Cell lengths 7.8966, 7.8966, 7.8966 Å; angles 90.00, 90.00, 90.00 degrees
Space group F-43m (No. 216)
Unique sites:
K1 0.0000 0.0000 0.0000 (multiplicity 4)
Te1 0.2500 0.2500 0.2500 (multiplicity 4)
Cl1 0.2500 0.2500 0.7500 (multiplicity 4)



(8)
LaTb2Dy4Sc: optimized geometry, PBE-GGA.

## Properties
Energy of formation in eV per atom: 0.037
N(E_F) in states/eV/atom: 1.49

Cell lengths 4.9940, 4.9940, 10.0588 Å; angles 90.00, 90.00, 90.00 degrees
Space group P4/mmm (No. 123)
Unique sites:
La1 0.0000 0.0000 0.0000 (multiplicity 1)
Tb1 0.0000 0.0000 0.5000 (multiplicity 1)
Tb2 0.5000 0.5000 0.5000 (multiplicity 1)
Dy1 0.0000 0.5000 0.2498 (multiplicity 4)
Sc1 0.5000 0.5000 0.0000 (multiplicity 1)



(9)
Cr2RePb: optimized geometry, PBE-GGA.

## Properties
Energy of formation in eV per atom: 0.571
N(E_F) in states/eV/atom: 1.07

Cell lengths 2.9595, 3.8430, 5.7123 Å; angles 90.00, 90.00, 90.00 degrees
Space group Pmmm (No. 47)
Unique sites:
Cr1 0.0000 0.0000 0.1840 (multiplicity 2)
Re1 0.5000 0.5000 0.0000 (multiplicity 1)
Pb1 0.5000 0.5000 0.5000 (multiplicity 1)



(10)
TbNi4B4: optimized geometry, PBE-GGA.

## Properties
Energy of formation in eV per atom: -0.434
Distance to the lowest polymorph of the same formula in meV per atom: 0.0
N(E_F) in states/eV/atom: 0.75

Cell lengths 5.0525, 5.0525, 7.0674 Å; angles 90.00, 90.00, 90.00 degrees
Space group P4_2/nmc (No. 137, origin choice 2)
Unique sites:
Tb1 0.2500 0.7500 0.2500 (multiplicity 2)
Ni1 0.0001 0.2500 0.1158 (multiplicity 8)
B1 0.0794 0.2500 0.4102 (multiplicity 8)



(11)
Ag3PdO: optimized geometry, PBE-GGA.

## Properties
Formation energy (no corrections) in meV per atom: 1227
Distance to the lowest polymorph of the same formula in meV per atom: 1078.2
N(E_F) in states/eV/atom: 1.61

Cell lengths 5.0728, 5.0728, 5.0728 Å; angles 90.00, 90.00, 90.00 degrees
Space group Pm-3m (No. 221)
Unique sites:
Ag1 0.0000 0.0000 0.5000 (multiplicity 3)
Pd1 0.0000 0.0000 0.0000 (multiplicity 1)
O1 0.5000 0.5000 0.5000 (multiplicity 1)



(12)
Ba2SrLi2Sb2: optimized geometry, PBE-GGA.

## Properties
Formation energy (no corrections) in meV per atom: -768
N(E_F) in states/eV/atom: 0.45

Cell lengths 4.8230, 4.8230, 38.8002 Å; angles 90.00, 90.00, 120.00 degrees
Space group R-3m (No. 166, hexagonal axes)
Unique sites:
Ba1 0.0000 0.0000 0.1151 (multiplicity 6)
Sr1 0.0000 0.0000 0.0000 (multiplicity 3)
Li1 0.0000 0.0000 0.3855 (multiplicity 6)
Sb1 0.0000 0.0000 0.2787 (multiplicity 6)